Entry a
The following is a PBE calculation of crystalline TlGeC2 at its relaxed geometry, from Alexandria.

a = 5.0221 Å, b = 5.0221 Å, c = 9.6015 Å
α = 90.00°, β = 90.00°, γ = 90.00°
Closest atoms and distances in Å follow each position.
Space group I-42d (No. 122)
Inequivalent atoms, fractional coordinates:
Tl: 0.0000 0.0000 0.0000 x4  4 C 2.31
Ge: 0.0000 0.0000 0.5000 x4  4 C 1.99
C: 0.1953 0.2500 0.6250 x8  2 Ge 1.99

Fermi-level density of states: 9.4 states/eV/cell
Total magnetic moment: 0.00 μB per formula unit

Entry b
The following is a PBE calculation of crystalline TlGeC2 at its relaxed geometry, from Alexandria.

a = 6.1405 Å, b = 6.1405 Å, c = 6.1405 Å
α = 90.00°, β = 90.00°, γ = 90.00°
Closest atoms and distances in Å follow each position.
Space group Fm-3m (No. 225)
Inequivalent atoms, fractional coordinates:
Tl: 0.0000 0.0000 0.0000 x4  8 C 2.66
Ge: 0.0000 0.0000 0.5000 x4  8 C 2.66
C: 0.2500 0.2500 0.2500 x8  4 Ge 2.66, 4 Tl 2.66

Fermi-level density of states: 9.4 states/eV/cell
Total magnetic moment: 0.00 μB per formula unit

It comes down to entry a, which is 1160 meV per atom more stable than the next structure.

Entry a
The following is a PBE calculation of crystalline Tm4Ge2C at its relaxed geometry, from Alexandria.

a = 6.5045 Å, b = 14.8560 Å, c = 6.6013 Å
α = 90.00°, β = 90.00°, γ = 90.00°
Closest atoms and distances in Å follow each position.
Space group Cmce (No. 64)
Inequivalent atoms, fractional coordinates:
Tm: 0.0000 0.1674 0.0334 x8  1 C 2.50
Tm: 0.2500 0.0087 0.7500 x8  2 C 2.32
Ge: 0.0000 0.1369 0.4872 x8  6 Tm 2.92-3.13
C: 0.0000 0.0000 0.0000 x4  6 Tm 2.32-2.50

Fermi-level density of states: 2.9 states/eV/cell
Total magnetic moment: 0.00 μB per formula unit

Entry b
The following is a PBE calculation of crystalline Tm4Ge2C at its relaxed geometry, from Alexandria.

a = 11.3037 Å, b = 3.9184 Å, c = 8.0940 Å
α = 90.00°, β = 124.04°, γ = 90.00°
Closest atoms and distances in Å follow each position.
Space group C2/m (No. 12)
Inequivalent atoms, fractional coordinates:
Tm: 0.0801 0.0000 0.3451 x4  1 C 2.41
Tm: 0.1598 0.5000 0.0728 x4  2 C 2.50
Ge: 0.1259 0.5000 0.6597 x4  1 Ge 2.56
C: 0.0000 0.0000 0.0000 x2  6 Tm 2.41-2.50

Fermi-level density of states: 12.6 states/eV/cell
Total magnetic moment: 0.00 μB per formula unit

Entry c
The following is a PBE calculation of crystalline Tm4Ge2C at its relaxed geometry, from Alexandria.

a = 4.5580 Å, b = 4.5580 Å, c = 15.7428 Å
α = 90.00°, β = 90.00°, γ = 90.00°
Closest atoms and distances in Å follow each position.
Space group I4/mmm (No. 139)
Inequivalent atoms, fractional coordinates:
Tm: 0.0000 0.0000 0.1775 x4  1 Ge 2.90
Tm: 0.0000 0.5000 0.0000 x4  2 C 2.28
Ge: 0.0000 0.0000 0.3617 x4  1 C 2.18
C: 0.0000 0.0000 0.5000 x2  2 Ge 2.18, 4 Tm 2.28

Fermi-level density of states: 11.1 states/eV/cell
Total magnetic moment: 0.00 μB per formula unit

It comes down to entry a, which is 64 meV per atom more stable than the next structure.